[1]
The following is a PBE+U calculation of SrCoTeO after structural relaxation, from the Open Quantum Materials Database.

It has space group Pca2_1 (No. 29), with a = 7.3682 Å, b = 7.0402 Å, c = 7.2732 Å, α = 90.00°, β = 90.00° and γ = 90.00°. The distinct sites, in fractional coordinates, are Sr at (0.1133, 0.1124, 0.0000), Co at (0.0317, 0.6529, 0.1309), Te at (0.1431, 0.6263, 0.7896) and O at (0.0924, 0.1159, 0.6557).

As for the calculated total energy: -5.0256 eV per atom. Its magnetization is 3.00 μB per formula unit.

[2]
The following is a PBE+U calculation of SrCoTeO after structural relaxation, from the Open Quantum Materials Database.

It has space group P4/nmm (No. 129, origin choice 2), with a = 4.0219 Å, b = 4.0219 Å, c = 12.5152 Å, α = 90.00°, β = 90.00° and γ = 90.00°. The distinct sites, in fractional coordinates, are Sr at (0.2500, 0.2500, 0.0948), Co at (0.2500, 0.2500, 0.5755), Te at (0.2500, 0.2500, 0.3678) and O at (0.2500, 0.7500, 0.0000).

As for the calculated total energy: -4.6732 eV per atom. Its magnetization is 2.17 μB per formula unit.

[3]
The following is a PBE+U calculation of SrCoTeO after structural relaxation, from the Open Quantum Materials Database.

It has space group Cmc2_1 (No. 36), with a = 4.1564 Å, b = 7.2289 Å, c = 12.3241 Å, α = 90.00°, β = 90.00° and γ = 90.00°. The distinct sites, in fractional coordinates, are Sr at (0.0000, 0.1699, 0.0000), Co at (0.0000, 0.1575, 0.2960), Te at (0.0000, 0.4908, 0.2098) and O at (0.0000, 0.1632, 0.4467).

As for the calculated total energy: -5.0924 eV per atom. Its magnetization is 3.00 μB per formula unit.

[4]
The following is a PBE+U calculation of SrCoTeO after structural relaxation, from the Open Quantum Materials Database.

It has space group P4/nmm (No. 129, origin choice 2), with a = 4.2381 Å, b = 4.2381 Å, c = 9.3732 Å, α = 90.00°, β = 90.00° and γ = 90.00°. The distinct sites, in fractional coordinates, are Sr at (0.2500, 0.2500, 0.2353), Co at (0.2500, 0.2500, 0.5590), Te at (0.2500, 0.2500, 0.8552) and O at (0.2500, 0.7500, 0.5000).

As for the calculated total energy: -4.7616 eV per atom. Its magnetization is 2.99 μB per formula unit.

[5]
The following is a PBE+U calculation of Sr2TlCoO5 after structural relaxation, from the Open Quantum Materials Database.

It has space group P4/mmm (No. 123), with a = 3.7250 Å, b = 3.7250 Å, c = 8.8136 Å, α = 90.00°, β = 90.00° and γ = 90.00°. The distinct sites, in fractional coordinates, are Sr at (0.0000, 0.0000, 0.2139), Tl at (0.5000, 0.5000, 0.5000), Co at (0.5000, 0.5000, 0.0000), O at (0.0000, 0.0000, 0.5000), O at (0.0000, 0.5000, 0.0000) and O at (0.5000, 0.5000, 0.2608).

As for the calculated total energy: -5.6747 eV per atom. Its magnetization is 2.88 μB per formula unit.

[6]
The following is a PBE+U calculation of SrZn3Co4O12 after structural relaxation, from the Open Quantum Materials Database.

It has space group Im-3 (No. 204), with a = 7.2749 Å, b = 7.2749 Å, c = 7.2749 Å, α = 90.00°, β = 90.00° and γ = 90.00°. The distinct sites, in fractional coordinates, are Sr at (0.0000, 0.0000, 0.0000), Zn at (0.0000, 0.0000, 0.5000), Co at (0.2500, 0.2500, 0.2500) and O at (0.0000, 0.3041, 0.1893).

As for the calculated total energy: -5.3190 eV per atom. Its magnetization is 5.77 μB per formula unit.

[7]
The following is a PBE+U calculation of Sr3ZnCoO6 after structural relaxation, from the Open Quantum Materials Database.

It has space group R-3c (No. 167, hexagonal axes), with a = 9.4868 Å, b = 9.4868 Å, c = 10.8565 Å, α = 90.00°, β = 90.00° and γ = 120.00°. The distinct sites, in fractional coordinates, are Sr at (0.0000, 0.3660, 0.2500), Zn at (0.0000, 0.0000, 0.2500), Co at (0.0000, 0.0000, 0.0000) and O at (0.0209, 0.1693, 0.3923).

As for the calculated total energy: -5.7540 eV per atom. Its magnetization is 1.00 μB per formula unit.

[8]
The following is a PBE+U calculation of Sr2ZrCoO6 after structural relaxation, from the Open Quantum Materials Database.

It has space group I4/mmm (No. 139), with a = 5.5835 Å, b = 5.5835 Å, c = 7.8374 Å, α = 90.00°, β = 90.00° and γ = 90.00°. The distinct sites, in fractional coordinates, are Sr at (0.0000, 0.5000, 0.2500), Zr at (0.0000, 0.0000, 0.0000), Co at (0.0000, 0.0000, 0.5000), O at (0.0000, 0.0000, 0.2640) and O at (0.2380, 0.2380, 0.5000).

As for the calculated total energy: -7.0581 eV per atom. Its magnetization is 1.00 μB per formula unit.